Record 1
Crystalline MnCuRh2 at its relaxed geometry, computed with PBE-GGA.

**DFT total energy**: -28.0 eV/cell
**E_form**: -0.0063 eV/atom
**Space group**: R3m
**N(E_F)**: 3.35 states/eV per cell

Cell lengths 2.7176, 2.7176, 8.5533 Å; angles 80.86, 80.86, 60.00 degrees
Last column: nearest neighbours and their distance in Å.
Element x y z (fractional)
Mn (0.6665, 0.6665, 0.0004)  6 Rh 2.56-2.57, 6 Mn 2.72
Cu (0.5001, 0.5001, 0.4996)  6 Rh 2.68-2.69, 6 Cu 2.72
Rh (0.0804, 0.0804, 0.7588)  3 Mn 2.57, 3 Cu 2.69, 6 Rh 2.72
Rh (0.2529, 0.2529, 0.2413)  3 Mn 2.56, 3 Cu 2.68, 6 Rh 2.72

=====

Record 2
Crystalline MnCuRh2 at its relaxed geometry, computed with PBE-GGA.

**DFT total energy**: -28.0 eV/cell
**E_form**: -0.0106 eV/atom
**Space group**: Pmm2
**N(E_F)**: 4.48 states/eV per cell

Cell lengths 2.7525, 3.7494, 5.2653 Å; angles 90.00, 90.00, 90.00 degrees
Last column: nearest neighbours and their distance in Å.
Element x y z (fractional)
Cu (0.0000, 0.0000, 0.4993)  6 Rh 2.60-2.66, 4 Mn 2.67, 2 Cu 2.75
Mn (0.5000, 0.5000, 0.7493)  6 Rh 2.59-2.68, 4 Cu 2.67, 2 Mn 2.75
Rh (0.0000, 0.0000, 0.9935)  2 Cu 2.60-2.66, 4 Mn 2.66, 6 Rh 2.71-2.75
Rh (0.5000, 0.5000, 0.2579)  2 Mn 2.59-2.68, 4 Cu 2.65, 6 Rh 2.71-2.75

=====

Record 3
Crystalline MnCuRh2 at its relaxed geometry, computed with PBE-GGA.

**DFT total energy**: -28.1 eV/cell
**E_form**: -0.0302 eV/atom
**Space group**: C2/m
**N(E_F)**: 4.26 states/eV per cell

Cell lengths 4.5379, 4.5379, 4.6801 Å; angles 79.10, 79.10, 35.32 degrees
Last column: nearest neighbours and their distance in Å.
Element x y z (fractional)
Mn (0.7500, 0.7500, 0.7500)  6 Rh 2.62-2.68, 4 Cu 2.72, 2 Mn 2.75
Rh (0.0028, 0.0028, 0.0008)  3 Mn 2.62-2.68, 3 Cu 2.63-2.65, 6 Rh 2.70-2.75
Rh (0.4972, 0.4972, 0.4992)  3 Mn 2.62-2.68, 3 Cu 2.63-2.65, 6 Rh 2.70-2.75
Cu (0.2500, 0.2500, 0.2500)  6 Rh 2.63-2.65, 4 Mn 2.72, 2 Cu 2.75

=====

Record 4
Crystalline MnCu2Rh at its relaxed geometry, computed with PBE-GGA.

**DFT total energy**: -24.8 eV/cell
**E_form**: -0.0303 eV/atom
**Space group**: Immm
**N(E_F)**: 2.09 states/eV per cell

Cell lengths 4.6689, 4.6689, 4.6689 Å; angles 133.83, 133.69, 67.46 degrees
Last column: nearest neighbours and their distance in Å.
Element x y z (fractional)
Mn (0.7500, 0.2500, 0.5000)  4 Rh 2.59, 8 Cu 2.67
Rh (0.2500, 0.7500, 0.5000)  4 Mn 2.59, 8 Cu 2.67
Cu (0.0000, 0.0000, 0.0000)  4 Cu 2.59, 4 Mn 2.67, 4 Rh 2.67
Cu (0.5000, 0.5000, 0.0000)  4 Cu 2.59, 4 Mn 2.67, 4 Rh 2.67

=====

Record 5
Crystalline MnCu2Rh at its relaxed geometry, computed with PBE-GGA.

**DFT total energy**: -24.3 eV/cell
**E_form**: 0.0991 eV/atom
**Space group**: R3m
**N(E_F)**: 3.41 states/eV per cell

Cell lengths 8.5467, 8.5467, 8.5467 Å; angles 17.87, 17.87, 17.87 degrees
Last column: nearest neighbours and their distance in Å.
Element x y z (fractional)
Cu (0.9976, 0.9976, 0.9976)  9 Cu 2.56-2.66, 3 Rh 2.69
Cu (0.2498, 0.2498, 0.2498)  9 Cu 2.56-2.66, 3 Mn 2.59
Mn (0.5005, 0.5005, 0.5005)  3 Rh 2.57, 3 Cu 2.59, 6 Mn 2.66
Rh (0.7520, 0.7520, 0.7520)  3 Mn 2.57, 6 Rh 2.66, 3 Cu 2.69

=====

Record 6
Crystalline MnCu23Rh6 at its relaxed geometry, computed with PBE-GGA.

**DFT total energy**: -145.2 eV/cell
**E_form**: 0.0772 eV/atom
**Space group**: Fm-3m
**N(E_F)**: 14.19 states/eV per cell

Cell lengths 8.1868, 8.1868, 8.1868 Å; angles 60.00, 60.00, 60.00 degrees
Last column: nearest neighbours and their distance in Å.
Element x y z (fractional)
Mn (0.5000, 0.5000, 0.5000)  6 Rh 2.76, 8 Cu 2.88
Cu (0.6220, 0.1260, 0.1260)  7 Cu 2.50-2.68, 3 Rh 2.59
Cu (0.3780, 0.8740, 0.8740)  7 Cu 2.50-2.68, 3 Rh 2.59
Cu (0.1260, 0.1260, 0.6220)  7 Cu 2.50-2.68, 3 Rh 2.59
Cu (0.1260, 0.1260, 0.1260)  7 Cu 2.50-2.68, 3 Rh 2.59
Cu (0.8740, 0.8740, 0.3780)  7 Cu 2.50-2.68, 3 Rh 2.59
Cu (0.8740, 0.8740, 0.8740)  7 Cu 2.50-2.68, 3 Rh 2.59
Cu (0.1260, 0.6220, 0.1260)  7 Cu 2.50-2.68, 3 Rh 2.59
Cu (0.8740, 0.3780, 0.8740)  7 Cu 2.50-2.68, 3 Rh 2.59
Cu (0.5000, 0.5000, 0.0000)  8 Cu 2.41-2.50
Cu (0.0000, 0.0000, 0.5000)  8 Cu 2.41-2.50
Cu (0.5000, 0.0000, 0.0000)  8 Cu 2.41-2.50
Cu (0.0000, 0.5000, 0.5000)  8 Cu 2.41-2.50
Cu (0.5000, 0.0000, 0.5000)  8 Cu 2.41-2.50
Cu (0.0000, 0.5000, 0.0000)  8 Cu 2.41-2.50
Cu (0.9309, 0.3564, 0.3564)  6 Cu 2.41-2.68, 3 Rh 2.60
Cu (0.0691, 0.6436, 0.6436)  6 Cu 2.41-2.68, 3 Rh 2.60
Cu (0.3564, 0.3564, 0.9309)  6 Cu 2.41-2.68, 3 Rh 2.60
Cu (0.3564, 0.3564, 0.3564)  6 Cu 2.41-2.68, 3 Rh 2.60
Cu (0.6436, 0.6436, 0.0691)  6 Cu 2.41-2.68, 3 Rh 2.60
Cu (0.6436, 0.6436, 0.6436)  6 Cu 2.41-2.68, 3 Rh 2.60
Cu (0.3564, 0.9309, 0.3564)  6 Cu 2.41-2.68, 3 Rh 2.60
Cu (0.6436, 0.0691, 0.6436)  6 Cu 2.41-2.68, 3 Rh 2.60
Cu (0.0000, 0.0000, 0.0000)  8 Cu 2.53
Rh (0.7385, 0.7385, 0.2615)  12 Cu 2.59-2.90, 1 Mn 2.76
Rh (0.2615, 0.2615, 0.7385)  12 Cu 2.59-2.90, 1 Mn 2.76
Rh (0.7385, 0.2615, 0.2615)  12 Cu 2.59-2.90, 1 Mn 2.76
Rh (0.2615, 0.7385, 0.7385)  12 Cu 2.59-2.90, 1 Mn 2.76
Rh (0.7385, 0.2615, 0.7385)  12 Cu 2.59-2.90, 1 Mn 2.76
Rh (0.2615, 0.7385, 0.2615)  12 Cu 2.59-2.90, 1 Mn 2.76